Computed, not measured: a relaxed structure of Ta2VCrW at the PBE level of DFT.

Energy of formation from the pure elements = 1.774 eV/atom
SG = P4/mmm (123)

Structure (CIF):
```
data_Ta2VCrW
_chemical_formula_sum 'Ta2 V1 Cr1 W1'
_space_group_name_H-M_alt 'P 1'
_space_group_IT_number 1
_space_group_name_Hall 'P 1'
_cell_length_a 4.875
_cell_length_b 4.875
_cell_length_c 4.431
_cell_angle_alpha 90.00
_cell_angle_beta 90.00
_cell_angle_gamma 90.00
loop_
_atom_site_label
_atom_site_type_symbol
_atom_site_fract_x
_atom_site_fract_y
_atom_site_fract_z
Ta1 Ta 0.000 0.500 0.000
Ta2 Ta 0.500 0.000 0.000
V1 V 0.000 0.000 0.500
Cr1 Cr 0.500 0.500 0.500
W1 W 0.500 0.500 0.000
```


Computed, not measured: a relaxed structure of Ta2CrW at the PBE level of DFT.

Energy of formation from the pure elements = -0.003 eV/atom
SG = P4mm (99)

Structure (CIF):
```
data_Ta2CrW
_chemical_formula_sum 'Ta2 Cr1 W1'
_space_group_name_H-M_alt 'P 1'
_space_group_IT_number 1
_space_group_name_Hall 'P 1'
_cell_length_a 3.150
_cell_length_b 3.150
_cell_length_c 6.466
_cell_angle_alpha 90.00
_cell_angle_beta 90.00
_cell_angle_gamma 90.00
loop_
_atom_site_label
_atom_site_type_symbol
_atom_site_fract_x
_atom_site_fract_y
_atom_site_fract_z
Ta1 Ta 0.000 0.000 0.000
Ta2 Ta 0.500 0.500 0.274
Cr1 Cr 0.500 0.500 0.759
W1 W 0.000 0.000 0.533
```


Computed, not measured: a relaxed structure of TaCr4W at the PBE level of DFT.

Energy of formation from the pure elements = -0.031 eV/atom
SG = F-43m (216)

Structure (CIF):
```
data_TaCr4W
_chemical_formula_sum 'Ta1 Cr4 W1'
_space_group_name_H-M_alt 'P 1'
_space_group_IT_number 1
_space_group_name_Hall 'P 1'
_cell_length_a 4.860
_cell_length_b 4.860
_cell_length_c 4.860
_cell_angle_alpha 60.00
_cell_angle_beta 60.00
_cell_angle_gamma 60.00
loop_
_atom_site_label
_atom_site_type_symbol
_atom_site_fract_x
_atom_site_fract_y
_atom_site_fract_z
Ta1 Ta 0.000 0.000 0.000
Cr1 Cr 0.375 0.375 0.375
Cr2 Cr 0.375 0.375 0.875
Cr3 Cr 0.375 0.875 0.375
Cr4 Cr 0.875 0.375 0.375
W1 W 0.750 0.750 0.750
```


Computed, not measured: a relaxed structure of TaCr2W2 at the PBE level of DFT.

Energy of formation from the pure elements = 0.859 eV/atom
SG = C2/m (12)

Structure (CIF):
```
data_TaCr2W2
_chemical_formula_sum 'Ta1 Cr2 W2'
_space_group_name_H-M_alt 'P 1'
_space_group_IT_number 1
_space_group_name_Hall 'P 1'
_cell_length_a 4.493
_cell_length_b 4.493
_cell_length_c 4.672
_cell_angle_alpha 104.55
_cell_angle_beta 104.55
_cell_angle_gamma 101.23
loop_
_atom_site_label
_atom_site_type_symbol
_atom_site_fract_x
_atom_site_fract_y
_atom_site_fract_z
Ta1 Ta 0.000 0.000 0.000
Cr1 Cr 0.210 0.790 0.500
Cr2 Cr 0.790 0.210 0.500
W1 W 0.375 0.375 0.703
W2 W 0.625 0.625 0.297
```